# GGA-PBE Pm2PaPb, optimized geometry
# Magnetization, μB per atom: 0.000
# Space group: R-3m
# DFT formation energy, eV/atom: 0.177
# Relative energy among the computed polymorphs, eV per atom: 0.2388
data_Pm2PaPb
_chemical_formula_sum 'Pm6 Pa3 Pb3'
_space_group_name_H-M_alt 'P 1'
_space_group_IT_number 1
_space_group_name_Hall 'P 1'
_cell_length_a 3.343
_cell_length_b 3.343
_cell_length_c 36.676
_cell_angle_alpha 90.00
_cell_angle_beta 90.00
_cell_angle_gamma 120.00
loop_
_atom_site_label
_atom_site_fract_x
_atom_site_fract_y
_atom_site_fract_z
_atom_site_occupancy
Pm1 0.000 0.000 0.089 1
Pm2 0.000 0.000 0.911 1
Pm3 0.333 0.667 0.577 1
Pm4 0.333 0.667 0.756 1
Pm5 0.667 0.333 0.244 1
Pm6 0.667 0.333 0.423 1
Pa1 0.000 0.000 0.000 1
Pa2 0.333 0.667 0.667 1
Pa3 0.667 0.333 0.333 1
Pb1 0.000 0.000 0.500 1
Pb2 0.333 0.667 0.167 1
Pb3 0.667 0.333 0.833 1

=====

# GGA-PBE TbPm2ErTl2, optimized geometry
# Magnetization, μB per atom: 0.000
# Space group: Pmc2_1
# DFT formation energy, eV/atom: -0.270
data_TbPm2ErTl2
_chemical_formula_sum 'Tb2 Pm4 Er2 Tl4'
_space_group_name_H-M_alt 'P 1'
_space_group_IT_number 1
_space_group_name_Hall 'P 1'
_cell_length_a 5.143
_cell_length_b 10.144
_cell_length_c 6.869
_cell_angle_alpha 90.00
_cell_angle_beta 90.00
_cell_angle_gamma 90.00
loop_
_atom_site_label
_atom_site_fract_x
_atom_site_fract_y
_atom_site_fract_z
_atom_site_occupancy
Tb1 0.000 0.042 0.000 1
Tb2 0.000 0.958 0.500 1
Pm1 0.000 0.314 0.368 1
Pm2 0.000 0.686 0.868 1
Pm3 0.500 0.457 0.094 1
Pm4 0.500 0.543 0.594 1
Er1 0.500 0.185 0.718 1
Er2 0.500 0.815 0.218 1
Tl1 0.000 0.356 0.836 1
Tl2 0.000 0.644 0.336 1
Tl3 0.500 0.126 0.257 1
Tl4 0.500 0.874 0.757 1

=====

# GGA-PBE BaCrTc2, optimized geometry
# Magnetization, μB per atom: 0.198
# Space group: Immm
# DFT formation energy, eV/atom: 1.083
# Relative energy among the computed polymorphs, eV per atom: 0.5273
data_BaCrTc2
_chemical_formula_sum 'Ba2 Cr2 Tc4'
_space_group_name_H-M_alt 'P 1'
_space_group_IT_number 1
_space_group_name_Hall 'P 1'
_cell_length_a 2.983
_cell_length_b 5.354
_cell_length_c 9.659
_cell_angle_alpha 90.00
_cell_angle_beta 90.00
_cell_angle_gamma 90.00
loop_
_atom_site_label
_atom_site_fract_x
_atom_site_fract_y
_atom_site_fract_z
_atom_site_occupancy
Ba1 0.000 0.000 0.000 1
Ba2 0.500 0.500 0.500 1
Cr1 0.000 0.000 0.500 1
Cr2 0.500 0.500 0.000 1
Tc1 0.000 0.500 0.205 1
Tc2 0.000 0.500 0.795 1
Tc3 0.500 0.000 0.295 1
Tc4 0.500 0.000 0.705 1

=====

# GGA-PBE Ba2HgOsO6, optimized geometry
# Magnetization, μB per atom: 0.200
# E_form (uncorrected), meV/atom: -1609
# Space group: P-1
data_Ba2HgOsO6
_chemical_formula_sum 'Ba2 Hg1 Os1 O6'
_space_group_name_H-M_alt 'P 1'
_space_group_IT_number 1
_space_group_name_Hall 'P 1'
_cell_length_a 5.968
_cell_length_b 5.971
_cell_length_c 5.973
_cell_angle_alpha 61.81
_cell_angle_beta 61.87
_cell_angle_gamma 61.81
loop_
_atom_site_label
_atom_site_fract_x
_atom_site_fract_y
_atom_site_fract_z
_atom_site_occupancy
Ba1 0.248 0.248 0.248 1
Ba2 0.752 0.752 0.752 1
Hg1 0.500 0.500 0.500 1
Os1 0.000 0.000 0.000 1
O1 0.158 0.786 0.288 1
O2 0.214 0.713 0.841 1
O3 0.287 0.159 0.788 1
O4 0.713 0.841 0.212 1
O5 0.786 0.287 0.159 1
O6 0.842 0.214 0.712 1